Here is an optimized crystal structure of TlPd4Cl7 from the Alexandria database. Energies are from PBE.

Unit cell a=17.618 b=7.099 c=4.972 alpha=90.00 beta=90.00 gamma=90.00
Positions (direct):
Tl1 0.000 0.034 0.000
Tl2 0.500 0.966 0.500
Pd1 0.111 0.592 0.209
Pd2 0.230 0.781 0.528
Pd3 0.270 0.219 0.028
Pd4 0.389 0.408 0.709
Pd5 0.611 0.408 0.709
Pd6 0.730 0.219 0.028
Pd7 0.770 0.781 0.528
Pd8 0.889 0.592 0.209
Cl1 0.000 0.452 0.385
Cl2 0.099 0.863 0.489
Cl3 0.141 0.312 0.988
Cl4 0.219 0.752 0.023
Cl5 0.281 0.248 0.523
Cl6 0.359 0.688 0.488
Cl7 0.401 0.137 0.989
Cl8 0.500 0.548 0.885
Cl9 0.599 0.137 0.989
Cl10 0.641 0.688 0.488
Cl11 0.719 0.248 0.523
Cl12 0.781 0.752 0.023
Cl13 0.859 0.312 0.988
Cl14 0.901 0.863 0.489

## Properties
E_form (uncorrected) ... -0.423 eV/atom
DOS(E_F) ... 0.456 states/eV per atom
Space-group type ... No. 31

=====

Here is an optimized crystal structure of MgNiSe from the Alexandria database. Energies are from PBE.

Unit cell a=5.602 b=5.602 c=5.192 alpha=104.38 beta=104.38 gamma=39.89
Positions (direct):
Mg1 0.000 0.000 0.000
Mg2 0.599 0.599 0.506
Ni1 0.349 0.349 0.143
Ni2 0.907 0.907 0.451
Se1 0.341 0.341 0.655
Se2 0.698 0.698 0.052

## Properties
E_form (uncorrected) ... -0.450 eV/atom
DOS(E_F) ... 0.470 states/eV per atom
Space-group type ... No. 8

=====

Here is an optimized crystal structure of LiGa2Ni2 from the Alexandria database. Energies are from PBE.

Unit cell a=7.037 b=7.037 c=2.690 alpha=90.00 beta=90.00 gamma=90.00
Positions (direct):
Li1 0.000 0.000 0.000
Li2 0.500 0.500 0.000
Ga1 0.162 0.338 0.500
Ga2 0.338 0.838 0.500
Ga3 0.662 0.162 0.500
Ga4 0.838 0.662 0.500
Ni1 0.135 0.635 0.000
Ni2 0.365 0.135 0.000
Ni3 0.635 0.865 0.000
Ni4 0.865 0.365 0.000

## Properties
E above lowest polymorph ... 0.0000 eV per atom
DOS(E_F) ... 0.403 states/eV per atom
Formation energy from the elements ... -0.400 eV/atom
Space-group type ... No. 127

=====

Here is an optimized crystal structure of TbCo6Si4 from the Alexandria database. Energies are from PBE.

Unit cell a=6.598 b=6.598 c=3.614 alpha=90.00 beta=90.00 gamma=120.00
Positions (direct):
Tb1 0.000 0.000 0.000
Co1 0.205 0.410 0.500
Co2 0.205 0.795 0.500
Co3 0.534 0.068 0.000
Co4 0.534 0.466 0.000
Co5 0.590 0.795 0.500
Co6 0.932 0.466 0.000
Si1 0.333 0.667 0.000
Si2 0.399 0.199 0.500
Si3 0.801 0.199 0.500
Si4 0.801 0.601 0.500

## Properties
E_form (uncorrected) ... -0.642 eV/atom
DOS(E_F) ... 0.623 states/eV per atom
Space-group type ... No. 187

=====

Here is an optimized crystal structure of Sr3TaPb from the Alexandria database. Energies are from PBE.

Unit cell a=5.907 b=5.907 c=5.907 alpha=90.00 beta=90.00 gamma=90.00
Positions (direct):
Sr1 0.000 0.000 0.500
Sr2 0.000 0.500 0.000
Sr3 0.500 0.000 0.000
Ta1 0.000 0.000 0.000
Pb1 0.500 0.500 0.500

## Properties
E above lowest polymorph ... 0.0000 eV per atom
DOS(E_F) ... 1.759 states/eV per atom
Formation energy from the elements ... 0.910 eV/atom
Space-group type ... No. 221

=====

Here is an optimized crystal structure of TbDy3Ni8 from the Alexandria database. Energies are from PBE.

Unit cell a=8.791 b=8.791 c=8.791 alpha=33.48 beta=33.48 gamma=33.48
Positions (direct):
Tb1 0.000 0.000 0.000
Dy1 0.375 0.375 0.375
Dy2 0.500 0.500 0.500
Dy3 0.875 0.875 0.875
Ni1 0.188 0.188 0.188
Ni2 0.437 0.437 0.937
Ni3 0.437 0.937 0.437
Ni4 0.438 0.937 0.937
Ni5 0.688 0.688 0.688
Ni6 0.937 0.437 0.437
Ni7 0.937 0.438 0.937
Ni8 0.937 0.937 0.438

## Properties
DOS(E_F) ... 0.522 states/eV per atom
Formation energy from the elements ... -0.445 eV/atom
Space-group type ... No. 160

=====

Here is an optimized crystal structure of Tb3Pr5Ag2 from the Alexandria database. Energies are from PBE.

Unit cell a=10.614 b=10.614 c=10.614 alpha=113.13 beta=79.39 gamma=142.30
Positions (direct):
Tb1 0.168 0.222 0.390
Tb2 0.250 0.250 0.000
Tb3 0.332 0.722 0.054
Tb4 0.668 0.278 0.946
Tb5 0.750 0.750 0.000
Tb6 0.832 0.778 0.610
Pr1 0.052 0.750 0.302
Pr2 0.068 0.732 0.801
Pr3 0.250 0.750 0.500
Pr4 0.432 0.232 0.664
Pr5 0.448 0.750 0.698
Pr6 0.552 0.250 0.302
Pr7 0.568 0.768 0.336
Pr8 0.750 0.250 0.500
Pr9 0.932 0.268 0.199
Pr10 0.948 0.250 0.698
Ag1 0.152 0.957 0.109
Ag2 0.348 0.457 0.805
Ag3 0.652 0.543 0.195
Ag4 0.848 0.043 0.891

## Properties
DOS(E_F) ... 1.422 states/eV per atom
Formation energy from the elements ... 0.132 eV/atom
Space-group type ... No. 72

=====

Here is an optimized crystal structure of CrCu2As from the Alexandria database. Energies are from PBE.

Unit cell a=2.847 b=3.673 c=5.464 alpha=90.00 beta=104.60 gamma=90.00
Positions (direct):
Cr1 0.000 0.000 0.000
Cu1 0.246 0.000 0.493
Cu2 0.643 0.500 0.289
As1 0.407 0.500 0.807

## Properties
DOS(E_F) ... 0.512 states/eV per atom
Formation energy from the elements ... 0.123 eV/atom
Space-group type ... No. 6

=====

Here is an optimized crystal structure of Pr6SmEr2Mg from the Alexandria database. Energies are from PBE.

Unit cell a=8.680 b=8.680 c=9.514 alpha=96.09 beta=96.09 gamma=105.86
Positions (direct):
Pr1 0.040 0.466 0.672
Pr2 0.061 0.826 0.903
Pr3 0.174 0.939 0.597
Pr4 0.243 0.579 0.076
Pr5 0.421 0.757 0.424
Pr6 0.466 0.040 0.172
Pr7 0.534 0.960 0.828
Pr8 0.579 0.243 0.576
Pr9 0.757 0.421 0.924
Pr10 0.826 0.061 0.403
Pr11 0.939 0.174 0.097
Pr12 0.960 0.534 0.328
Sm1 0.436 0.564 0.750
Sm2 0.564 0.436 0.250
Er1 0.232 0.301 0.406
Er2 0.301 0.232 0.906
Er3 0.699 0.768 0.094
Er4 0.768 0.699 0.594
Mg1 0.097 0.903 0.250
Mg2 0.903 0.097 0.750

## Properties
DOS(E_F) ... 1.360 states/eV per atom
Formation energy from the elements ... 0.104 eV/atom
Space-group type ... No. 15

=====

Here is an optimized crystal structure of Ta2Ag2Sn from the Alexandria database. Energies are from PBE.

Unit cell a=8.080 b=8.080 c=3.095 alpha=90.00 beta=90.00 gamma=90.00
Positions (direct):
Ta1 0.117 0.383 0.000
Ta2 0.383 0.883 0.000
Ta3 0.617 0.117 0.000
Ta4 0.883 0.617 0.000
Ag1 0.175 0.675 0.500
Ag2 0.325 0.175 0.500
Ag3 0.675 0.825 0.500
Ag4 0.825 0.325 0.500
Sn1 0.000 0.000 0.000
Sn2 0.500 0.500 0.000

## Properties
E above lowest polymorph ... 0.0000 eV per atom
DOS(E_F) ... 0.810 states/eV per atom
Formation energy from the elements ... 0.606 eV/atom
Space-group type ... No. 127

=====

Q: What is the formula in the eighth record?
A: CrCu2As